# HfBeAs2Se | Alexandria via LeMat-Bulk | PBE | optimized geometry
data_HfBeAs2Se
_space_group_name_H-M_alt 'P 4/m m m'
_space_group_IT_number 123
_space_group_name_Hall '-P 4 2'
_cell_length_a 5.1740
_cell_length_b 5.1740
_cell_length_c 5.0815
_cell_angle_alpha 90.00
_cell_angle_beta 90.00
_cell_angle_gamma 90.00
loop_
_atom_site_label
_atom_site_fract_x
_atom_site_fract_y
_atom_site_fract_z
Hf1 0.0000 0.0000 0.0000
Be1 0.5000 0.5000 0.5000
As1 0.0000 0.5000 0.0000
Se1 0.0000 0.0000 0.5000
# * magnetization: 0.00 μB/cell
# * energy relative to the lowest polymorph listed for this composition: 336 meV/atom
# * raw formation energy: 570 meV per atom
# * DFT total energy: -23.6 eV per formula unit
# * D(E_F): 5.94 states/eV/f.u.

---

# HfBeTeAs2 | Alexandria via LeMat-Bulk | PBE | optimized geometry
data_HfBeTeAs2
_space_group_name_H-M_alt 'P 4/m m m'
_space_group_IT_number 123
_space_group_name_Hall '-P 4 2'
_cell_length_a 4.3108
_cell_length_b 4.3108
_cell_length_c 5.4446
_cell_angle_alpha 90.00
_cell_angle_beta 90.00
_cell_angle_gamma 90.00
loop_
_atom_site_label
_atom_site_fract_x
_atom_site_fract_y
_atom_site_fract_z
Hf1 0.0000 0.0000 0.0000
Be1 0.0000 0.0000 0.5000
Te1 0.5000 0.5000 0.0000
As1 0.0000 0.5000 0.5000
# * magnetization: 0.00 μB/cell
# * raw formation energy: 280 meV per atom
# * DFT total energy: -24.7 eV per formula unit
# * D(E_F): 2.47 states/eV/f.u.

---

# HfBeTlAs2 | Alexandria via LeMat-Bulk | PBE | optimized geometry
data_HfBeTlAs2
_space_group_name_H-M_alt 'P 4/m m m'
_space_group_IT_number 123
_space_group_name_Hall '-P 4 2'
_cell_length_a 4.4593
_cell_length_b 4.4593
_cell_length_c 5.0402
_cell_angle_alpha 90.00
_cell_angle_beta 90.00
_cell_angle_gamma 90.00
loop_
_atom_site_label
_atom_site_fract_x
_atom_site_fract_y
_atom_site_fract_z
Hf1 0.0000 0.0000 0.0000
Be1 0.0000 0.0000 0.5000
Tl1 0.5000 0.5000 0.0000
As1 0.0000 0.5000 0.5000
# * magnetization: 0.00 μB/cell
# * DFT total energy: -23.7 eV per formula unit
# * D(E_F): 2.25 states/eV/f.u.
# * energy of formation from the pure elements: 335 meV per atom

---

# Hf2BeTlAs | Alexandria via LeMat-Bulk | PBE | optimized geometry
data_Hf2BeTlAs
_space_group_name_H-M_alt 'P 4/m m m'
_space_group_IT_number 123
_space_group_name_Hall '-P 4 2'
_cell_length_a 5.0811
_cell_length_b 5.0811
_cell_length_c 4.1023
_cell_angle_alpha 90.00
_cell_angle_beta 90.00
_cell_angle_gamma 90.00
loop_
_atom_site_label
_atom_site_fract_x
_atom_site_fract_y
_atom_site_fract_z
Hf1 0.0000 0.5000 0.0000
Be1 0.0000 0.0000 0.5000
Tl1 0.5000 0.5000 0.5000
As1 0.0000 0.0000 0.0000
# * magnetization: 0.00 μB/cell
# * DFT total energy: -29.3 eV per formula unit
# * D(E_F): 4.95 states/eV/f.u.
# * energy of formation from the pure elements: 269 meV per atom

---

Question: Among the records above, which one has the highest DFT total energy?
Answer: HfBeAs2Se

---

Question: Look up the magnetization of the second one.
Answer: 0.00 μB/cell